a.
# BeInP PBEsol optimized geometry
data_BeInP
_cell_length_a 6.166
_cell_length_b 6.166
_cell_length_c 6.166
_cell_angle_alpha 90.00
_cell_angle_beta 90.00
_cell_angle_gamma 90.00
_symmetry_space_group_name_H-M 'F -4 3 m'
_symmetry_Int_Tables_number 216
_symmetry_space_group_name_Hall 'F -4 2 3'
loop_
_atom_site_label
_atom_site_fract_x
_atom_site_fract_y
_atom_site_fract_z
_atom_site_occupancy
Be1 0.000 0.000 0.000 1
In1 0.250 0.250 0.250 1
P1 0.000 0.000 0.500 1
# - D(E_F): 2.15 states/eV/cell
# - Theoretical density: 4.4 Mg/m³



b.
# BeInP PBEsol optimized geometry
data_BeInP
_cell_length_a 3.6312
_cell_length_b 3.6312
_cell_length_c 4.7544
_cell_angle_alpha 90.00
_cell_angle_beta 90.00
_cell_angle_gamma 120.00
_symmetry_space_group_name_H-M 'P -6 m 2'
_symmetry_Int_Tables_number 187
_symmetry_space_group_name_Hall 'P -6 2'
loop_
_atom_site_label
_atom_site_fract_x
_atom_site_fract_y
_atom_site_fract_z
_atom_site_occupancy
Be1 0.0000 0.0000 0.0000 1
In1 0.6667 0.3333 0.5000 1
P1 0.3333 0.6667 0.0000 1
# - D(E_F): 0.35 states/eV/cell
# - Theoretical density: 4.7 Mg/m³



Which one is most stable, and which one is least stable? b is the most stable of them, while a is the least stable.



a.
# BeInPt2 PBEsol optimized geometry
data_BeInPt2
_cell_length_a 3.769
_cell_length_b 3.769
_cell_length_c 8.369
_cell_angle_alpha 90.00
_cell_angle_beta 90.00
_cell_angle_gamma 90.00
_symmetry_space_group_name_H-M 'I -4 m 2'
_symmetry_Int_Tables_number 119
_symmetry_space_group_name_Hall 'I -4 -2'
loop_
_atom_site_label
_atom_site_fract_x
_atom_site_fract_y
_atom_site_fract_z
_atom_site_occupancy
Be1 0.000 0.000 0.000 1
In1 0.000 0.500 0.250 1
Pt1 0.000 0.000 0.500 1
Pt2 0.000 0.500 0.750 1
# - D(E_F): 2.84 states/eV/cell
# - Theoretical density: 14.4 Mg/m³



b.
# BeInPt2 PBEsol optimized geometry
data_BeInPt2
_cell_length_a 2.887
_cell_length_b 4.236
_cell_length_c 5.156
_cell_angle_alpha 90.00
_cell_angle_beta 106.20
_cell_angle_gamma 90.00
_symmetry_space_group_name_H-M 'P 1 m 1'
_symmetry_Int_Tables_number 6
loop_
_symmetry_equiv_pos_as_xyz
'x,y,z'
'x,-y,z'
loop_
_atom_site_label
_atom_site_fract_x
_atom_site_fract_y
_atom_site_fract_z
_atom_site_occupancy
Be1 0.000 0.000 0.000 1
In1 0.669 0.500 0.326 1
Pt1 0.297 0.000 0.580 1
Pt2 0.939 0.500 0.865 1
# - D(E_F): 1.19 states/eV/cell
# - Theoretical density: 14.1 Mg/m³



c.
# BeInPt2 PBEsol optimized geometry
data_BeInPt2
_cell_length_a 3.154
_cell_length_b 3.154
_cell_length_c 6.117
_cell_angle_alpha 90.00
_cell_angle_beta 90.00
_cell_angle_gamma 90.00
_symmetry_space_group_name_H-M 'P 4 m m'
_symmetry_Int_Tables_number 99
loop_
_symmetry_equiv_pos_as_xyz
'x,y,z'
'-y,x,z'
'-x,-y,z'
'y,-x,z'
'-x,y,z'
'y,x,z'
'x,-y,z'
'-y,-x,z'
loop_
_atom_site_label
_atom_site_fract_x
_atom_site_fract_y
_atom_site_fract_z
_atom_site_occupancy
Be1 0.000 0.000 0.000 1
In1 0.500 0.500 0.343 1
Pt1 0.000 0.000 0.601 1
Pt2 0.500 0.500 0.903 1
# - D(E_F): 1.42 states/eV/cell
# - Theoretical density: 14.0 Mg/m³



Which one is most stable, and which one is least stable? c is the most stable of them, while a is the least stable.



a.
# BeInRu2 PBEsol optimized geometry
data_BeInRu2
_cell_length_a 5.318
_cell_length_b 8.452
_cell_length_c 2.778
_cell_angle_alpha 90.00
_cell_angle_beta 114.66
_cell_angle_gamma 90.00
_symmetry_space_group_name_H-M 'C 1 2/m 1'
_symmetry_Int_Tables_number 12
loop_
_symmetry_equiv_pos_as_xyz
'x,y,z'
'-x,-y,-z'
'-x,y,-z'
'x,-y,z'
'x+1/2,y+1/2,z'
'-x+1/2,-y+1/2,-z'
'-x+1/2,y+1/2,-z'
'x+1/2,-y+1/2,z'
loop_
_atom_site_label
_atom_site_fract_x
_atom_site_fract_y
_atom_site_fract_z
_atom_site_occupancy
Be1 0.000 0.000 0.000 1
In1 0.000 0.500 0.000 1
Ru1 0.250 0.250 0.500 1
# - D(E_F): 8.03 states/eV/cell
# - Theoretical density: 9.5 Mg/m³



b.
# BeInRu2 PBEsol optimized geometry
data_BeInRu2
_cell_length_a 4.011
_cell_length_b 2.832
_cell_length_c 9.871
_cell_angle_alpha 90.00
_cell_angle_beta 90.00
_cell_angle_gamma 90.00
_symmetry_space_group_name_H-M 'A m m 2'
_symmetry_Int_Tables_number 38
loop_
_symmetry_equiv_pos_as_xyz
'x,y,z'
'-x,-y,z'
'-x,y,z'
'x,-y,z'
'x,y+1/2,z+1/2'
'-x,-y+1/2,z+1/2'
'-x,y+1/2,z+1/2'
'x,-y+1/2,z+1/2'
loop_
_atom_site_label
_atom_site_fract_x
_atom_site_fract_y
_atom_site_fract_z
_atom_site_occupancy
Be1 0.000 0.000 0.000 1
In1 0.500 0.000 0.622 1
Ru1 0.000 0.000 0.284 1
Ru2 0.500 0.000 0.888 1
# - D(E_F): 7.01 states/eV/cell
# - Theoretical density: 9.7 Mg/m³



c.
# BeInRu2 PBEsol optimized geometry
data_BeInRu2
_cell_length_a 4.210
_cell_length_b 4.210
_cell_length_c 3.122
_cell_angle_alpha 90.00
_cell_angle_beta 90.00
_cell_angle_gamma 90.00
_symmetry_space_group_name_H-M 'P 4/m m m'
_symmetry_Int_Tables_number 123
_symmetry_space_group_name_Hall '-P 4 2'
loop_
_atom_site_label
_atom_site_fract_x
_atom_site_fract_y
_atom_site_fract_z
_atom_site_occupancy
Be1 0.000 0.000 0.000 1
In1 0.500 0.500 0.000 1
Ru1 0.000 0.500 0.500 1
# - D(E_F): 5.38 states/eV/cell
# - Theoretical density: 9.8 Mg/m³



Which one is most stable, and which one is least stable? b is the most stable of them, while a is the least stable.



a.
# BeIn2Sb PBEsol optimized geometry
data_BeIn2Sb
_cell_length_a 4.004
_cell_length_b 5.344
_cell_length_c 8.318
_cell_angle_alpha 90.00
_cell_angle_beta 90.00
_cell_angle_gamma 90.00
_symmetry_space_group_name_H-M 'C m m 2'
_symmetry_Int_Tables_number 35
loop_
_symmetry_equiv_pos_as_xyz
'x,y,z'
'-x,-y,z'
'-x,y,z'
'x,-y,z'
'x+1/2,y+1/2,z'
'-x+1/2,-y+1/2,z'
'-x+1/2,y+1/2,z'
'x+1/2,-y+1/2,z'
loop_
_atom_site_label
_atom_site_fract_x
_atom_site_fract_y
_atom_site_fract_z
_atom_site_occupancy
Be1 0.000 0.000 0.000 1
In1 0.000 0.000 0.501 1
In2 0.000 0.500 0.207 1
Sb1 0.000 0.500 0.819 1
# - D(E_F): 3.32 states/eV/cell
# - Theoretical density: 6.7 Mg/m³



b.
# BeIn2Sb PBEsol optimized geometry
data_BeIn2Sb
_cell_length_a 4.160
_cell_length_b 4.814
_cell_length_c 8.535
_cell_angle_alpha 90.00
_cell_angle_beta 90.00
_cell_angle_gamma 90.00
_symmetry_space_group_name_H-M 'C m m m'
_symmetry_Int_Tables_number 65
_symmetry_space_group_name_Hall '-C 2 2'
loop_
_atom_site_label
_atom_site_fract_x
_atom_site_fract_y
_atom_site_fract_z
_atom_site_occupancy
Be1 0.000 0.000 0.000 1
In1 0.000 0.500 0.197 1
Sb1 0.000 0.000 0.500 1
# - D(E_F): 3.23 states/eV/cell
# - Theoretical density: 7.0 Mg/m³



Which one is most stable, and which one is least stable? a is the most stable of them, while b is the least stable.